LaTiIn2 | PBE | optimized geometry

Unit cell a=4.6512 b=4.6512 c=11.1688 alpha=77.98 beta=77.98 gamma=90.00
Element x y z (fractional)
In  0.5701  0.1250  0.2500
In  0.1799  0.6250  0.2500
In  0.3750  0.4299  0.7500
In  0.8750  0.8201  0.7500
Ti  0.5000  0.5000  0.0000
Ti  0.2500  0.7500  0.5000
La  0.0000  0.0000  0.0000
La  0.7500  0.2500  0.5000

Output
Space-group type   I-42d, No. 122
E   -34.7 eV for the cell shown
Spin magnetization   0.63 μB per atom
V   28.864 Å³ per atom
Energy of formation from the pure elements   23.1 kJ per mole of atoms